(1)
This record from Alexandria via LeMat-Bulk describes a geometry-optimized SrAgIr2 structure. The functional is PBE.

Volume: 19.94 Å³ per atom
Calculated formation energy: 129 kJ/mol of formula units
Total magnetization: 0.20 μB per cell
Energy above the most stable polymorph in this dataset: 145 meV/atom
DOS at the Fermi energy: 3.952 states/eV per cell

a = 6.0780 Å, b = 6.0780 Å, c = 6.0780 Å
α = 152.02°, β = 130.34°, γ = 57.97°
Element x y z (fractional)
Ir 0.9856 0.9856 0.0000
Ir 0.7877 0.2877 0.5000
Ag 0.2186 0.7186 0.5000
Sr 0.5081 0.5081 0.0000

(2)
This record from Alexandria via LeMat-Bulk describes a geometry-optimized Tb2PrY6Th3 structure. The functional is PBE.

Volume: 32.42 Å³ per atom
Calculated formation energy: 24 kJ/mol of formula units
Total magnetization: 0.00 μB per cell
DOS at the Fermi energy: 17.508 states/eV per cell

a = 6.2207 Å, b = 6.2207 Å, c = 11.7924 Å
α = 95.06°, β = 95.06°, γ = 120.00°
Element x y z (fractional)
Pr 0.0000 0.0000 0.0000
Tb 0.6667 0.3333 0.0000
Y 0.7513 0.7513 0.2553
Th 0.5000 0.5000 0.5000
Y 0.5810 0.9148 0.7447
Tb 0.3333 0.6667 0.0000
Y 0.0852 0.4190 0.2553
Th 0.1664 0.8336 0.5000
Th 0.8336 0.1664 0.5000
Y 0.2487 0.2487 0.7447
Y 0.4190 0.0852 0.2553
Y 0.9148 0.5810 0.7447

(3)
This record from Alexandria via LeMat-Bulk describes a geometry-optimized Sr2Cr2Ga structure. The functional is PBE.

Volume: 32.50 Å³ per atom
Calculated formation energy: 399 kJ/mol of formula units
Total magnetization: 19.16 μB per cell
DOS at the Fermi energy: 8.021 states/eV per cell

a = 8.9979 Å, b = 8.9979 Å, c = 4.0144 Å
α = 90.00°, β = 90.00°, γ = 90.00°
Element x y z (fractional)
Cr 0.3777 0.1223 0.5000
Sr 0.3278 0.8278 0.0000
Sr 0.8278 0.6722 0.0000
Ga 0.0000 0.0000 0.0000
Sr 0.6722 0.1722 0.0000
Ga 0.5000 0.5000 0.0000
Cr 0.1223 0.6223 0.5000
Cr 0.6223 0.8777 0.5000
Cr 0.8777 0.3777 0.5000
Sr 0.1722 0.3278 0.0000

(4)
This record from Alexandria via LeMat-Bulk describes a geometry-optimized SnHgMo2 structure. The functional is PBE.

Volume: 18.08 Å³ per atom
Calculated formation energy: 233 kJ/mol of formula units
Total magnetization: 0.00 μB per cell
Energy above the most stable polymorph in this dataset: 0 meV/atom
DOS at the Fermi energy: 3.609 states/eV per cell

a = 4.6761 Å, b = 4.6761 Å, c = 4.6761 Å
α = 60.00°, β = 60.00°, γ = 60.00°
Element x y z (fractional)
Mo 0.2500 0.2500 0.2500
Sn 0.0000 0.0000 0.0000
Mo 0.7500 0.7500 0.7500
Hg 0.5000 0.5000 0.5000

Question: Number 1 is which compound?
Answer: SrAgIr2

Question: The highest calculated formation energy belongs to which entry?
Answer: Sr2Cr2Ga

Question: Number 2 is which compound?
Answer: Tb2PrY6Th3

Question: The lowest calculated formation energy belongs to which entry?
Answer: Tb2PrY6Th3